The following is a PBE calculation of ScGe2BiI after structural relaxation, from Alexandria.

## Properties
SG = No. 123
Size of the total moment = 0.00 μB/f.u.
DOS at the Fermi energy = 1.2487 states/eV per atom
Crystal system = tetragonal
Raw formation energy = 0.375 eV per atom

a = 5.287 Å, b = 5.287 Å, c = 5.736 Å
α = 90.00°, β = 90.00°, γ = 90.00°
Fractional positions:
Sc 0.000 0.000 0.000
Ge 0.000 0.500 0.000
Ge 0.500 0.000 0.000
Bi 0.000 0.000 0.500
I 0.500 0.500 0.500

The following is a PBE calculation of SnGe2BiI after structural relaxation, from Alexandria.

## Properties
SG = No. 123
Size of the total moment = 0.00 μB/f.u.
DOS at the Fermi energy = 1.2274 states/eV per atom
Crystal system = tetragonal
Raw formation energy = 0.785 eV per atom

a = 5.533 Å, b = 5.533 Å, c = 6.318 Å
α = 90.00°, β = 90.00°, γ = 90.00°
Fractional positions:
Sn 0.000 0.000 0.000
Ge 0.000 0.500 0.500
Ge 0.500 0.000 0.500
Bi 0.000 0.000 0.500
I 0.500 0.500 0.000

The following is a PBE calculation of GeBiTeI2 after structural relaxation, from Alexandria.

## Properties
SG = No. 123
Size of the total moment = 0.00 μB/f.u.
DOS at the Fermi energy = 0.8668 states/eV per atom
Crystal system = tetragonal
Raw formation energy = 0.276 eV per atom

a = 5.553 Å, b = 5.553 Å, c = 5.735 Å
α = 90.00°, β = 90.00°, γ = 90.00°
Fractional positions:
Ge 0.000 0.000 0.000
Bi 0.500 0.500 0.500
Te 0.000 0.000 0.500
I 0.000 0.500 0.000
I 0.500 0.000 0.000